# Sb2IrOs (PBE-GGA, optimized geometry)
# ΔE_f (raw) = 0.290 eV per atom
# Energy relative to the lowest polymorph listed for this composition = 0.228 eV/f.u.
data_Sb2IrOs
_chemical_formula_sum 'Sb2 Ir1 Os1'
_cell_length_a 3.098
_cell_length_b 3.098
_cell_length_c 8.660
_cell_angle_alpha 90.00
_cell_angle_beta 90.00
_cell_angle_gamma 90.00
_space_group_name_H-M_alt 'P 4 m m'
_space_group_IT_number 99
loop_
_space_group_symop_operation_xyz
'x,y,z'
'-y,x,z'
'-x,-y,z'
'y,-x,z'
'-x,y,z'
'y,x,z'
'x,-y,z'
'-y,-x,z'
loop_
_atom_site_label
_atom_site_fract_x
_atom_site_fract_y
_atom_site_fract_z
_atom_site_occupancy
Sb1 0.000 0.000 0.000 1
Sb2 0.500 0.500 0.400 1
Ir1 0.000 0.000 0.596 1
Os1 0.500 0.500 0.807 1